Density functional theory data (PBE) for a relaxed PSe2I crystal.

Results
The value obtained for the polymorph energy (0 for the lowest one) is 0 meV/atom. The calculation puts the theoretical density at 3.29 Mg/m³. The value obtained for the total energy is -54.6 eV/cell. As for the formation energy (no corrections): 6 kJ/mol of atoms.

Unit cell a=7.8169 b=6.9031 c=11.8306 alpha=90.00 beta=90.00 gamma=90.00
Positions (direct):
I 0.6120 0.5799 0.9475
P 0.4182 0.4474 0.3285
I 0.1120 0.9201 0.4475
Se 0.6494 0.0673 0.7734
Se 0.1494 0.4327 0.2734
P 0.4182 0.9474 0.1715
I 0.1120 0.4201 0.0525
P 0.9182 0.5526 0.6715
Se 0.6494 0.5673 0.7266
Se 0.5702 0.6463 0.2049
I 0.6120 0.0799 0.5525
P 0.9182 0.0526 0.8285
Se 0.0702 0.8537 0.7049
Se 0.5702 0.1463 0.2951
Se 0.1494 0.9327 0.2266
Se 0.0702 0.3537 0.7951


Density functional theory data (PBE) for a relaxed Co8Ni2Pd crystal.

Results
The calculation puts the theoretical density at 9.00 Mg/m³. The value obtained for the total energy is -72.4 eV/cell. For the formation energy, the calculation gives 0.11 eV/atom.

Unit cell a=6.8597 b=4.9565 c=4.6715 alpha=122.04 beta=75.16 gamma=90.00
Last column: magnetic moment on the atom in μB.
Positions (direct):
Pd 0.0000 0.0000 0.0000  0.23
Co 0.7192 0.5642 0.6322  1.70
Ni 0.3735 0.4107 0.8215  0.73
Co 0.7192 0.0680 0.6322  1.70
Co 0.3997 0.9001 0.8003  1.69
Co 0.9999 0.3563 0.7127  1.76
Ni 0.6265 0.5893 0.1785  0.73
Co 0.0001 0.6437 0.2873  1.76
Co 0.2808 0.4358 0.3678  1.70
Co 0.6003 0.0999 0.1997  1.69
Co 0.2808 0.9320 0.3678  1.70


Density functional theory data (PBE) for a relaxed PRuBr crystal.

Results
The value obtained for the polymorph energy (0 for the lowest one) is 1375 meV/atom. The calculation puts the theoretical density at 6.25 Mg/m³. The value obtained for the total energy is -13.1 eV/cell. As for the formation energy (no corrections): 104 kJ/mol of atoms.

Unit cell a=4.3022 b=4.3022 c=4.3022 alpha=60.00 beta=60.00 gamma=60.00
Last column: magnetic moment on the atom in μB.
Positions (direct):
Ru 0.0000 0.0000 0.0000  0.75
P 0.7500 0.7500 0.7500  -0.02
Br 0.5000 0.5000 0.5000  0.05


Density functional theory data (PBE) for a relaxed NaNi4Cl8 crystal.

Results
The calculation puts the theoretical density at 3.15 Mg/m³. The value obtained for the total energy is -48.3 eV/cell. As for the formation energy (no corrections): -67 kJ/mol of atoms.

Unit cell a=7.0584 b=7.0584 c=7.7742 alpha=90.00 beta=117.00 gamma=120.00
Last column: magnetic moment on the atom in μB.
Positions (direct):
Ni 0.5000 0.5000 0.0000  1.36
Cl 0.5329 0.7665 0.7983  0.15
Cl 0.9682 0.2335 0.2017  0.15
Cl 0.4671 0.2335 0.2017  0.15
Cl 0.5383 0.2692 0.8074  0.18
Cl 0.0318 0.7665 0.7983  0.15
Ni 0.5000 0.0000 0.0000  1.36
Ni 0.0000 0.5000 0.0000  1.36
Cl 0.9682 0.7346 0.2017  0.15
Cl 0.0318 0.2654 0.7983  0.15
Ni 0.0000 0.0000 0.0000  1.30
Cl 0.4617 0.7308 0.1926  0.18
Na 0.0000 0.5000 0.5000  0.00


Density functional theory data (PBE) for a relaxed PrNd2Er6 crystal.

Results
The value obtained for the polymorph energy (0 for the lowest one) is 81 meV/atom. The calculation puts the theoretical density at 8.15 Mg/m³. The value obtained for the total energy is -40.7 eV/cell. For the formation energy, the calculation gives 0.11 eV/atom.

Unit cell a=3.4870 b=9.7840 c=9.7840 alpha=63.46 beta=79.77 gamma=79.77
Positions (direct):
Er 0.5000 0.6857 0.3143
Nd 0.8438 0.6573 0.6573
Er 0.5000 0.3143 0.6857
Er 0.1790 0.9892 0.6547
Er 0.8210 0.3453 0.0108
Er 0.8210 0.0108 0.3453
Nd 0.1562 0.3427 0.3427
Pr 0.0000 0.0000 0.0000
Er 0.1790 0.6547 0.9892


Density functional theory data (PBE) for a relaxed HgIrF6 crystal.

Results
The calculation puts the theoretical density at 6.36 Mg/m³. The value obtained for the total energy is -32.0 eV/cell. As for the formation energy (no corrections): -140 kJ/mol of atoms.

Unit cell a=5.1913 b=5.1913 c=5.5150 alpha=97.49 beta=97.49 gamma=113.59
Last column: magnetic moment on the atom in μB.
Positions (direct):
F 0.5608 0.8550 0.7255  0.02
Hg 0.0000 0.0000 0.0000  -0.01
F 0.4392 0.1450 0.2745  0.02
F 0.2738 0.2738 0.7132  0.08
F 0.8550 0.5608 0.7255  0.02
Ir 0.5000 0.5000 0.5000  0.70
F 0.1450 0.4392 0.2745  0.02
F 0.7262 0.7262 0.2868  0.08